A relaxed structure of BaSeI2N. Source: Alexandria via LeMat-Bulk, functional PBE.

M_tot = 0.03 μB per atom
Theoretical density = 4.996 g/cm³
Total energy = -3.446 eV per atom

abc: 6.445 6.445 3.873
angles: 90.00 90.00 90.00
Space group P4/mmm (No. 123)
Unique sites:
Ba  0.000  0.000  0.000 [1 per cell]
Se  0.500  0.500  0.500 [1 per cell]
I  0.000  0.500  0.500 [2 per cell]
N  0.500  0.500  0.000 [1 per cell]

---

A relaxed structure of Ba8Se3I4N. Source: Alexandria via LeMat-Bulk, functional PBE.

M_tot = 0.00 μB per atom
Theoretical density = 4.973 g/cm³
Total energy = -4.050 eV per atom

abc: 9.3375 9.3375 24.6358
angles: 90.00 90.00 120.00
Space group R-3m (No. 166, hexagonal axes)
Unique sites:
Ba  0.0000  0.0000  0.2386 [6 per cell]
Ba  0.0348  0.5174  0.2317 [18 per cell]
Se  0.0000  0.5000  0.5000 [9 per cell]
I  0.0000  0.0000  0.0000 [3 per cell]
I  0.0000  0.5000  0.0000 [9 per cell]
N  0.0000  0.0000  0.5000 [3 per cell]

---

A relaxed structure of Ba6Se2I3N. Source: Alexandria via LeMat-Bulk, functional PBE.

M_tot = 0.00 μB per atom
Theoretical density = 5.011 g/cm³
Total energy = -4.089 eV per atom

abc: 8.005 13.823 8.662
angles: 90.00 107.85 90.00
Space group C2/m (No. 12)
Unique sites:
Ba  0.214  0.149  0.195 [8 per cell]
Ba  0.232  0.000  0.798 [4 per cell]
Se  0.000  0.334  0.000 [4 per cell]
I  0.000  0.175  0.500 [4 per cell]
I  0.000  0.500  0.500 [2 per cell]
N  0.000  0.000  0.000 [2 per cell]

---

A relaxed structure of BaSe2IN. Source: Alexandria via LeMat-Bulk, functional PBE.

M_tot = 0.00 μB per atom
Theoretical density = 5.468 g/cm³
Total energy = -3.641 eV per atom

abc: 5.657 5.657 4.140
angles: 90.00 90.00 90.00
Space group P4/mmm (No. 123)
Unique sites:
Ba  0.000  0.000  0.000 [1 per cell]
Se  0.000  0.500  0.500 [2 per cell]
I  0.500  0.500  0.500 [1 per cell]
N  0.500  0.500  0.000 [1 per cell]

---

A relaxed structure of BaSiIN2. Source: Alexandria via LeMat-Bulk, functional PBE.

M_tot = 0.16 μB per atom
Theoretical density = 5.353 g/cm³
Total energy = -4.514 eV per atom

abc: 4.292 4.292 5.394
angles: 90.00 90.00 90.00
Space group P4/mmm (No. 123)
Unique sites:
Ba  0.000  0.000  0.000 [1 per cell]
Si  0.500  0.500  0.500 [1 per cell]
I  0.500  0.500  0.000 [1 per cell]
N  0.000  0.500  0.500 [2 per cell]

---

A relaxed structure of BaSiI2N. Source: Alexandria via LeMat-Bulk, functional PBE.

M_tot = 0.15 μB per atom
Theoretical density = 3.590 g/cm³
Total energy = -2.918 eV per atom

abc: 6.710 6.710 4.451
angles: 90.00 90.00 90.00
Space group P4/mmm (No. 123)
Unique sites:
Ba  0.000  0.000  0.000 [1 per cell]
Si  0.500  0.500  0.500 [1 per cell]
I  0.000  0.500  0.000 [2 per cell]
N  0.000  0.000  0.500 [1 per cell]

---

A relaxed structure of BaSiI2N. Source: Alexandria via LeMat-Bulk, functional PBE.

M_tot = 0.00 μB per atom
Theoretical density = 5.098 g/cm³
Total energy = -4.124 eV per atom

abc: 6.268 6.268 3.592
angles: 90.00 90.00 90.00
Space group P4/mmm (No. 123)
Unique sites:
Ba  0.000  0.000  0.000 [1 per cell]
Si  0.500  0.500  0.500 [1 per cell]
I  0.000  0.500  0.500 [2 per cell]
N  0.500  0.500  0.000 [1 per cell]

---

A relaxed structure of BaSiIN2. Source: Alexandria via LeMat-Bulk, functional PBE.

M_tot = 0.25 μB per atom
Theoretical density = 3.355 g/cm³
Total energy = -3.426 eV per atom

abc: 4.770 4.770 6.966
angles: 90.00 90.00 90.00
Space group P4/mmm (No. 123)
Unique sites:
Ba  0.000  0.000  0.000 [1 per cell]
Si  0.500  0.500  0.500 [1 per cell]
I  0.000  0.000  0.500 [1 per cell]
N  0.000  0.500  0.000 [2 per cell]